<i>
DFT (PBE) results for a relaxed structure of Cu5Ag4.

Results
Volume, Å³/atom: 14.62

Cell lengths 11.6186, 2.7737, 8.4080 Å; angles 90.00, 103.80, 90.00 degrees
Last column: nearest neighbours and their distance in Å.
Space group C2/m (No. 12)
Asymmetric unit:
Cu1 0.0000 0.0000 0.0000  8 Cu 2.63-2.77, 4 Ag 2.69
Cu2 0.0076 0.0000 0.3244  5 Cu 2.54-2.77, 6 Ag 2.69-2.77
Cu3 0.1555 0.5000 0.2157  6 Cu 2.54-2.77, 3 Ag 2.79-2.83
Ag1 0.1602 0.5000 0.5560  7 Cu 2.69-2.87, 5 Ag 2.77-2.85
Ag2 0.1620 0.5000 0.8866  7 Cu 2.69-2.83, 5 Ag 2.77-2.81


<ii>
DFT (PBE) results for a relaxed structure of Cu5Ag4.

Results
Volume, Å³/atom: 14.70

Cell lengths 14.3735, 2.7962, 6.5864 Å; angles 90.00, 91.06, 90.00 degrees
Last column: nearest neighbours and their distance in Å.
Space group Cm (No. 8)
Asymmetric unit:
Cu1 0.0000 0.0000 0.0000  9 Cu 2.54-2.80, 3 Ag 2.79-2.80
Cu2 0.0494 0.5000 0.3045  7 Cu 2.54-2.80, 3 Ag 2.79-2.80
Cu3 0.1558 0.5000 0.9943  5 Cu 2.58-2.80, 5 Ag 2.67-2.73
Cu4 0.3441 0.0000 0.0079  6 Cu 2.53-2.80, 4 Ag 2.65-2.75
Cu5 0.3954 0.5000 0.3103  7 Cu 2.53-2.80, 4 Ag 2.74-2.83
Ag1 0.1087 0.0000 0.6523  5 Cu 2.73-2.80, 7 Ag 2.76-2.83
Ag2 0.2245 0.0000 0.3087  7 Cu 2.65-2.88, 5 Ag 2.80-2.92
Ag3 0.2772 0.5000 0.6832  4 Cu 2.72-3.01, 8 Ag 2.77-2.92
Ag4 0.4429 0.0000 0.6538  6 Cu 2.74-2.79, 6 Ag 2.76-2.80


<i> (8 meV/atom below the next structure)